# 1
{"formula": "YErAl6B8O24", "functional": "PBE", "state": "optimized geometry", "lattice": [[9.3555, 0.0000, 0.0000], [0.0000, 5.9240, -0.0055], [0.0000, 2.9341, 6.6510]], "species": ["O", "O", "O", "O", "O", "O", "O", "O", "O", "O", "O", "O", "O", "O", "O", "O", "O", "O", "O", "O", "O", "O", "O", "O", "B", "B", "B", "B", "B", "B", "B", "B", "Al", "Al", "Al", "Al", "Al", "Al", "Er", "Y"], "frac_coords": [[0.6487, 0.5000, 0.0000], [0.7985, 0.7790, 0.1723], [0.9081, 0.5000, 0.0000], [0.4259, 0.6484, 0.0746], [0.3018, 0.2187, 0.3295], [0.9255, 0.6489, 0.5740], [0.0764, 0.9705, 0.7035], [0.6238, 0.3694, 0.4054], [0.7962, 0.9082, 0.7042], [0.4079, 0.5000, 0.5000], [0.2958, 0.9078, 0.2038], [0.3018, 0.7813, 0.6705], [0.5749, 0.0274, 0.7946], [0.7985, 0.2210, 0.8277], [0.1246, 0.3731, 0.9031], [0.1486, 0.5000, 0.5000], [0.7962, 0.0918, 0.2958], [0.0764, 0.0295, 0.2965], [0.1246, 0.6269, 0.0969], [0.4259, 0.3516, 0.9254], [0.9255, 0.3511, 0.4260], [0.5749, 0.9726, 0.2054], [0.2958, 0.0922, 0.7962], [0.6238, 0.6306, 0.5946], [0.0565, 0.5000, 0.0000], [0.9999, 0.5000, 0.5000], [0.5001, 0.5000, 0.0000], [0.2226, 0.9441, 0.7210], [0.7211, 0.0567, 0.7773], [0.2226, 0.0559, 0.2790], [0.5561, 0.5000, 0.5000], [0.7211, 0.9433, 0.2227], [0.4446, 0.0000, 0.0000], [0.7773, 0.4441, 0.2228], [0.9451, 0.0000, 0.5000], [0.7773, 0.5559, 0.7772], [0.2779, 0.5544, 0.2780], [0.2779, 0.4456, 0.7220], [0.5002, 0.0000, 0.5000], [0.9998, 0.0000, 0.0000]], "dos_ef_per_ev_fu": 0.000, "formation_energy_uncorrected_ev_per_atom": -2.830, "m_tot_mub_per_cell": 0.00, "sg": "No. 3", "e_tot_ev_per_atom": -7.9776}


# 2
{"formula": "Cd2SnBr", "functional": "PBE", "state": "optimized geometry", "lattice": [[4.0440, 0.0000, 0.0000], [2.0220, 3.5022, 0.0000], [2.0220, 1.1674, 8.0864]], "species": ["Cd", "Cd", "Sn", "Br"], "frac_coords": [[0.2550, 0.2550, 0.2351], [0.0808, 0.0808, 0.7577], [0.6678, 0.6678, 0.9966], [0.4965, 0.4965, 0.5106]], "dos_ef_per_ev_fu": 1.392, "formation_energy_uncorrected_ev_per_atom": -0.153, "m_tot_mub_per_cell": 0.00, "relative_energy_mev_per_atom": 22, "sg": "No. 160", "e_tot_ev_per_atom": -2.0294}


# 3
{"formula": "Cs2KTc2O7", "functional": "PBE", "state": "optimized geometry", "lattice": [[-1.6358, -2.9903, 2.0085], [2.9255, -2.3899, -1.1754], [7.1199, 0.3884, 10.2731]], "species": ["O", "O", "O", "O", "O", "O", "O", "K", "Cs", "Cs", "Tc", "Tc"], "frac_coords": [[0.5000, 0.5000, 0.0000], [0.9195, 0.4194, 0.1610], [0.6580, 0.6580, 0.6841], [0.5806, 0.0805, 0.8390], [0.3420, 0.3420, 0.3159], [0.4194, 0.9195, 0.1610], [0.0805, 0.5806, 0.8390], [0.0000, 0.0000, 0.0000], [0.8156, 0.8156, 0.3685], [0.1844, 0.1844, 0.6315], [0.4186, 0.4186, 0.1625], [0.5814, 0.5814, 0.8375]], "dos_ef_per_ev_fu": 3.726, "formation_energy_uncorrected_ev_per_atom": -1.524, "m_tot_mub_per_cell": 0.00, "sg": "No. 139", "e_tot_ev_per_atom": -6.3779}


# 4
{"formula": "NaSiPtO5", "functional": "PBE", "state": "optimized geometry", "lattice": [[5.5328, 0.0606, -0.0986], [-1.5572, 5.3095, -0.0986], [-1.7727, -2.3944, 6.5158]], "species": ["Na", "Na", "O", "O", "O", "O", "O", "O", "O", "O", "O", "O", "Pt", "Pt", "Si", "Si"], "frac_coords": [[0.3412, 0.6588, 0.2500], [0.6588, 0.3412, 0.7500], [0.6813, 0.0955, 0.3725], [0.9045, 0.3187, 0.1275], [0.6143, 0.7583, 0.9144], [0.3857, 0.2417, 0.0856], [0.9138, 0.0862, 0.7500], [0.0862, 0.9138, 0.2500], [0.7583, 0.6143, 0.4144], [0.3187, 0.9045, 0.6275], [0.0955, 0.6813, 0.8725], [0.2417, 0.3857, 0.5856], [0.0000, 0.0000, 0.0000], [0.0000, 0.0000, 0.5000], [0.3088, 0.6912, 0.7500], [0.6912, 0.3088, 0.2500]], "dos_ef_per_ev_fu": 4.135, "formation_energy_uncorrected_ev_per_atom": -1.529, "m_tot_mub_per_cell": 0.81, "sg": "No. 15", "e_tot_ev_per_atom": -6.2256}


# 5
{"formula": "FeAu", "functional": "PBE", "state": "optimized geometry", "lattice": [[8.7365, -0.0243, -0.0143], [8.2659, 2.8286, -0.0143], [8.2659, 1.3633, 2.4784]], "species": ["Au", "Au", "Fe", "Fe"], "frac_coords": [[0.0068, 0.0068, 0.0068], [0.2432, 0.2432, 0.2432], [0.7578, 0.7578, 0.7578], [0.4922, 0.4922, 0.4922]], "dos_ef_per_ev_fu": 1.524, "m_tot_mub_per_cell": 5.64, "sg": "No. 166", "e_tot_ev_per_atom": -5.6914, "formation_enthalpy_0k_mev_per_atom": 179}


# 6
{"formula": "MnSiSb2", "functional": "PBE", "state": "optimized geometry", "lattice": [[3.8296, 0.0000, 0.0000], [0.0000, 4.1177, 0.1571], [0.0000, 1.8770, 5.2504]], "species": ["Sb", "Sb", "Mn", "Si"], "frac_coords": [[0.5000, 0.2631, 0.3418], [0.0000, 0.9802, 0.9324], [0.5000, 0.5659, 0.7696], [0.0000, 0.6908, 0.4562]], "dos_ef_per_ev_fu": 1.303, "formation_energy_uncorrected_ev_per_atom": 0.172, "m_tot_mub_per_cell": 3.04, "sg": "No. 6", "e_tot_ev_per_atom": -5.5373}


# 7
{"formula": "Zr2PaRu", "functional": "PBE", "state": "optimized geometry", "lattice": [[4.8319, 0.0000, 0.0000], [2.4159, 4.1845, 0.0000], [2.4159, 1.3948, 3.9456]], "species": ["Ru", "Zr", "Zr", "Pa"], "frac_coords": [[0.0000, 0.0000, 0.0000], [0.2500, 0.2500, 0.2499], [0.7500, 0.7500, 0.7501], [0.5000, 0.5000, 0.5000]], "dos_ef_per_ev_fu": 3.669, "m_tot_mub_per_cell": 0.00, "relative_energy_mev_per_atom": 168, "sg": "No. 225", "e_tot_ev_per_atom": -9.0214, "formation_enthalpy_0k_mev_per_atom": -54}


# 8
{"formula": "Ce3Sm3ScSe8", "functional": "PBE", "state": "optimized geometry", "lattice": [[8.3344, 0.0000, 0.0000], [-4.1672, 7.2201, -0.0256], [0.0000, -4.7907, 6.8011]], "species": ["Se", "Se", "Se", "Se", "Se", "Se", "Se", "Se", "Ce", "Ce", "Ce", "Sc", "Sm", "Sm", "Sm"], "frac_coords": [[0.2399, 0.4799, 0.7416], [0.7604, 0.9981, 0.2579], [0.7513, 0.5026, 0.7534], [0.7623, 0.0019, 0.7421], [0.7601, 0.5201, 0.2584], [0.2377, 0.9981, 0.2579], [0.2396, 0.0019, 0.7421], [0.2487, 0.4974, 0.2466], [0.0000, 0.5000, 0.5000], [0.5000, 0.5000, 0.5000], [0.5000, 0.0000, 0.5000], [0.0000, 0.0000, 0.5000], [0.5000, 0.5000, 0.0000], [0.0000, 0.5000, 0.0000], [0.0000, 0.0000, 0.0000]], "dos_ef_per_ev_fu": 20.894, "formation_energy_uncorrected_ev_per_atom": -1.834, "m_tot_mub_per_cell": 3.60, "sg": "No. 166", "e_tot_ev_per_atom": -6.2455}


# 9
{"formula": "YNi2BRh", "functional": "PBE", "state": "optimized geometry", "lattice": [[-3.6154, 1.6120, 0.8662], [-1.0070, -3.3540, 2.0388], [1.5756, 1.6537, 3.4987]], "species": ["Y", "Rh", "Ni", "Ni", "B"], "frac_coords": [[0.5000, 0.5000, 0.5000], [0.0000, 0.0000, 0.5000], [0.0000, 0.5000, 0.0000], [0.5000, 0.0000, 0.0000], [0.0000, 0.0000, 0.0000]], "dos_ef_per_ev_fu": 3.940, "m_tot_mub_per_cell": 0.00, "sg": "No. 123", "e_tot_ev_per_atom": -6.9348, "formation_enthalpy_0k_mev_per_atom": -524}


# 10
{"formula": "CeDyZr", "functional": "PBE", "state": "optimized geometry", "lattice": [[-0.6562, 3.3024, -0.5335], [-4.9627, -0.7277, 1.5996], [3.7247, 1.3030, 3.4850]], "species": ["Dy", "Ce", "Zr"], "frac_coords": [[0.6667, 0.6667, 0.3333], [0.1669, 0.0000, 0.0000], [0.1664, 0.3333, 0.6667]], "dos_ef_per_ev_fu": 5.107, "m_tot_mub_per_cell": 0.00, "relative_energy_mev_per_atom": 2, "sg": "No. 187", "e_tot_ev_per_atom": -6.2676, "formation_enthalpy_0k_mev_per_atom": 94}


# 11
{"formula": "CeAlSi2Pd", "functional": "PBE", "state": "optimized geometry", "lattice": [[-2.6986, 0.8824, -2.8917], [2.0616, -2.2981, -2.6252], [-2.6165, -3.5648, 4.1938]], "species": ["Al", "Pd", "Si", "Si", "Ce"], "frac_coords": [[0.2500, 0.7500, 0.5000], [0.7500, 0.2500, 0.5000], [0.6096, 0.6096, 0.2192], [0.3904, 0.3904, 0.7808], [0.0000, 0.0000, 0.0000]], "dos_ef_per_ev_fu": 5.835, "formation_energy_uncorrected_ev_per_atom": -0.734, "m_tot_mub_per_cell": 0.64, "sg": "No. 119", "e_tot_ev_per_atom": -5.8772}


# 12
{"formula": "MgCo2Si", "functional": "PBE", "state": "optimized geometry", "lattice": [[4.0332, 0.0000, 0.0000], [2.0166, 3.4929, 0.0000], [2.0166, 1.1643, 3.2931]], "species": ["Co", "Co", "Si", "Mg"], "frac_coords": [[0.5000, 0.5000, 0.5000], [0.0000, 0.0000, 0.0000], [0.7500, 0.7500, 0.7500], [0.2500, 0.2500, 0.2500]], "dos_ef_per_ev_fu": 1.915, "formation_energy_uncorrected_ev_per_atom": -0.317, "m_tot_mub_per_cell": 0.00, "sg": "No. 225", "e_tot_ev_per_atom": -5.6245}